1.
Cu2Ru | PBE | relaxed

Lattice parameters (Å, degrees): 4.453 4.453 2.489 90.00 90.00 90.00
Positions (direct):
Cu1 0.000 0.500 0.500
Cu2 0.500 0.000 0.500
Ru1 0.000 0.000 0.000

Values from the calculation:
Energy above the most stable polymorph in this dataset (meV per atom): 461
Theoretical density (Mg/m³): 7.678

2.
MnZnH2 | PBE | relaxed

Lattice parameters (Å, degrees): 2.824 2.824 4.900 73.25 73.25 60.00
Positions (direct):
H1 0.287 0.287 0.139
H2 0.713 0.713 0.861
Zn1 0.500 0.500 0.500
Mn1 0.000 0.000 0.000

Values from the calculation:
Energy above the most stable polymorph in this dataset (meV per atom): 5
Theoretical density (Mg/m³): 6.369

3.
Y4P6Rh7 | PBE | relaxed

Lattice parameters (Å, degrees): 7.112 7.112 7.112 109.47 109.47 109.47
Positions (direct):
Y1 0.500 0.000 0.000
Y2 0.500 0.500 0.500
Y3 0.000 0.500 0.000
Y4 0.000 0.000 0.500
P1 0.675 0.000 0.675
P2 0.675 0.675 0.000
P3 0.000 0.325 0.325
P4 0.325 0.000 0.325
P5 0.325 0.325 0.000
P6 0.000 0.675 0.675
Rh1 0.750 0.500 0.250
Rh2 0.250 0.750 0.500
Rh3 0.500 0.750 0.250
Rh4 0.750 0.250 0.500
Rh5 0.250 0.500 0.750
Rh6 0.500 0.250 0.750
Rh7 0.000 0.000 0.000

Values from the calculation:
DFT total energy (eV per atom): -7.554
Theoretical density (Mg/m³): 7.565

4.
CsBa3Te | PBE | relaxed

Lattice parameters (Å, degrees): 6.934 6.934 6.934 90.00 90.00 90.00
Positions (direct):
Cs1 0.500 0.500 0.500
Te1 0.000 0.000 0.000
Ba1 0.000 0.500 0.000
Ba2 0.000 0.000 0.500
Ba3 0.500 0.000 0.000

Values from the calculation:
Formation energy without anion corrections (eV per atom): -0.49
Energy above the most stable polymorph in this dataset (meV per atom): 0
Theoretical density (Mg/m³): 3.349